Entry 1:
Here is a geometry-optimized BaFeRu structure from Alexandria via LeMat-Bulk. Energies are from GGA-PBE.

Output
DFT formation energy   1.325 eV per atom
Offset from the most stable computed form   993 meV per atom

a b c (Å): 5.4470 5.4470 8.5770
angles (deg): 90.00 90.00 120.00
Space group P6_3/mmc (No. 194)
One atom of each set of equivalent atoms:
Ba (0.3333, 0.6667, 0.2500) [2 per cell]
Fe (0.0000, 0.0000, 0.2500) [2 per cell]
Ru (0.0000, 0.0000, 0.0000) [2 per cell]

Entry 2:
Here is a geometry-optimized ZrMnNb2As structure from Alexandria via LeMat-Bulk. Energies are from GGA-PBE.

Output
DFT formation energy   1.912 eV per atom

a b c (Å): 4.948 4.948 4.957
angles (deg): 90.00 90.00 90.00
Space group P4/mmm (No. 123)
One atom of each set of equivalent atoms:
Zr (0.000, 0.000, 0.000) [1 per cell]
Mn (0.500, 0.500, 0.500) [1 per cell]
Nb (0.000, 0.500, 0.000) [2 per cell]
As (0.000, 0.000, 0.500) [1 per cell]

Entry 3:
Here is a geometry-optimized InHg2Cl structure from Alexandria via LeMat-Bulk. Energies are from GGA-PBE.

Output
Energy relative to the elements, uncorrected   -334 meV per atom
Offset from the most stable computed form   61 meV per atom

a b c (Å): 3.964 5.930 10.744
angles (deg): 90.00 90.00 90.00
Space group Imm2 (No. 44)
One atom of each set of equivalent atoms:
In (0.000, 0.000, 0.000) [2 per cell]
Hg (0.000, 0.000, 0.458) [2 per cell]
Hg (0.000, 0.500, 0.232) [2 per cell]
Cl (0.000, 0.500, 0.682) [2 per cell]

Entry 4:
Here is a geometry-optimized KTbSnBr6 structure from Alexandria via LeMat-Bulk. Energies are from GGA-PBE.

Output
Energy relative to the elements, uncorrected   -1505 meV per atom

a b c (Å): 7.5765 7.5765 7.1669
angles (deg): 90.00 90.00 120.00
Space group P312 (No. 149)
One atom of each set of equivalent atoms:
K (0.0000, 0.0000, 0.0000) [1 per cell]
Tb (0.6667, 0.3333, 0.5000) [1 per cell]
Sn (0.3333, 0.6667, 0.5000) [1 per cell]
Br (0.3739, 0.0175, 0.7281) [6 per cell]

no.,DOS at the Fermi energy (states/eV/cell),total magnetization (μB/f.u.)
1,8.6,2.66
2,8.2,0.42
3,0.0,0.00
4,0.0,0.00